Entry 1:
A geometry-optimized K2CdBiF6 structure, computed with PBE-GGA.

Structure (POSCAR):
```
K2CdBiF6
1.0
6.569 0.000 0.000
0.000 9.289 0.000
0.000 0.000 6.753
K Cd Bi F
4 2 2 12
direct
0.250 0.033 0.198
0.250 0.467 0.198
0.750 0.533 0.802
0.750 0.967 0.802
0.250 0.750 0.767
0.750 0.250 0.233
0.250 0.250 0.721
0.750 0.750 0.279
0.011 0.250 0.972
0.029 0.250 0.452
0.250 0.006 0.789
0.250 0.494 0.789
0.471 0.250 0.452
0.489 0.250 0.972
0.511 0.750 0.028
0.529 0.750 0.548
0.750 0.506 0.211
0.750 0.994 0.211
0.971 0.750 0.548
0.989 0.750 0.028
```

Values from the calculation:
Its space group is Pmmn. The value obtained for the formation energy without anion corrections is -23.0 eV/f.u. For the total energy, the calculation gives -82.357 eV/cell.

---

Entry 2:
A geometry-optimized MnAu3I structure, computed with PBE-GGA.

Structure (POSCAR):
```
MnAu3I
1.0
4.899 0.000 0.000
0.000 4.899 0.000
0.000 0.000 4.899
Mn Au I
1 3 1
direct
0.000 0.000 0.000
0.000 0.000 0.500
0.000 0.500 0.000
0.500 0.000 0.000
0.500 0.500 0.500
```

Values from the calculation:
Its space group is Pm-3m. The value obtained for the formation energy without anion corrections is 5.2 eV/f.u. For the total energy, the calculation gives -15.359 eV/cell.

---

Entry 3:
A geometry-optimized Ac4TbSe7 structure, computed with PBE-GGA.

Structure (POSCAR):
```
Ac4TbSe7
1.0
7.240 -2.152 0.000
7.240 2.152 0.000
-3.373 0.000 12.259
Ac Tb Se
4 1 7
direct
0.000 0.000 0.000
0.200 0.200 0.770
0.595 0.595 0.375
0.895 0.895 0.560
0.775 0.775 0.141
0.166 0.166 0.217
0.234 0.234 0.519
0.367 0.367 0.055
0.557 0.557 0.619
0.631 0.631 0.929
0.854 0.854 0.782
0.932 0.932 0.334
```

Values from the calculation:
Its space group is Cm. The value obtained for the formation energy without anion corrections is -23.6 eV/f.u. For the total energy, the calculation gives -69.103 eV/cell.